[1]
CsK2Cd2 | PBE | relaxed

The space group is I4/mmm (No. 139) and the conventional cell measures 5.749, 5.749 and 15.614 Å, with angles of 90.00, 90.00 and 90.00 degrees. The distinct sites, in fractional coordinates, are Cs at (0.000, 0.000, 0.000), K at (0.000, 0.500, 0.250) and Cd at (0.000, 0.000, 0.406).

The calculation puts the energy of formation from the pure elements at -0.01 eV per atom. The value obtained for the total energy is -4.91 eV per formula unit. For the total magnetization, the calculation gives 0.0 Bohr magnetons per cell. For the density of states at the Fermi level, the calculation gives 8.90 states/eV/cell. For the offset from the most stable computed form, the calculation gives 3.6 kJ/mol of atoms.

[2]
La15Dy4Ho | PBE | relaxed

The space group is P4/mmm (No. 123) and the conventional cell measures 5.207, 5.207 and 26.041 Å, with angles of 90.00, 90.00 and 90.00 degrees. The distinct sites, in fractional coordinates, are La at (0.000, 0.000, 0.000), La at (0.000, 0.000, 0.200), La at (0.000, 0.000, 0.400), La at (0.000, 0.500, 0.100), La at (0.000, 0.500, 0.300), La at (0.000, 0.500, 0.500), Dy at (0.500, 0.500, 0.200), Dy at (0.500, 0.500, 0.400) and Ho at (0.500, 0.500, 0.000).

The calculation puts the energy of formation from the pure elements at 0.01 eV per atom. The value obtained for the total energy is -96.73 eV per formula unit. For the total magnetization, the calculation gives 0.0 Bohr magnetons per cell. For the density of states at the Fermi level, the calculation gives 26.62 states/eV/cell.

[3]
AcNdSmPu | PBE | relaxed

The space group is F-43m (No. 216) and the conventional cell measures 8.295, 8.295 and 8.295 Å, with angles of 90.00, 90.00 and 90.00 degrees. The distinct sites, in fractional coordinates, are Ac at (0.000, 0.000, 0.000), Nd at (0.250, 0.250, 0.250), Sm at (0.250, 0.250, 0.750) and Pu at (0.000, 0.000, 0.500).

The calculation puts the energy of formation from the pure elements at 0.27 eV per atom. The value obtained for the total energy is -26.85 eV per formula unit. For the total magnetization, the calculation gives 29.3 Bohr magnetons per cell. For the density of states at the Fermi level, the calculation gives 64.58 states/eV/cell.

Question: Which of these has the lowest energy of formation from the pure elements?
Answer: CsK2Cd2